No. 1
This record from the Alexandria database describes an optimized crystal structure of Pm2Pr4Nd3. The functional is PBE.

abc: 6.5931 6.5931 9.3454
angles: 100.97 100.97 53.61
Element x y z (fractional)
Pm 0.0645 0.0645 0.3008
Pm 0.9355 0.9355 0.6992
Pr 0.1800 0.1800 0.9584
Pr 0.2702 0.2702 0.6298
Pr 0.7298 0.7298 0.3702
Pr 0.8200 0.8200 0.0416
Nd 0.3874 0.3874 0.3170
Nd 0.5000 0.5000 0.0000
Nd 0.6126 0.6126 0.6830

Calculated values
The calculation puts the relative energy among the computed polymorphs at 29 meV/atom. The size of the total moment is 0.00 μB per cell. The value obtained for the formation enthalpy at 0 K is 0.091 eV per atom.

No. 2
This record from the Alexandria database describes an optimized crystal structure of PmPr4Nd3. The functional is PBE.

abc: 12.0089 7.4428 6.4337
angles: 90.00 90.00 90.00
Element x y z (fractional)
Pm 0.0000 0.1238 0.0000
Pm 0.5000 0.8762 0.5000
Pr 0.0000 0.3736 0.5014
Pr 0.0000 0.6260 0.0009
Pr 0.2496 0.3738 0.1672
Pr 0.2504 0.6262 0.6672
Pr 0.5000 0.3740 0.5009
Pr 0.5000 0.6264 0.0014
Pr 0.7504 0.3738 0.1672
Pr 0.7496 0.6262 0.6672
Nd 0.0000 0.8759 0.4999
Nd 0.2500 0.1237 0.6683
Nd 0.2500 0.8763 0.1683
Nd 0.5000 0.1241 0.9999
Nd 0.7500 0.1237 0.6683
Nd 0.7500 0.8763 0.1683

Calculated values
The calculation puts the relative energy among the computed polymorphs at 21 meV/atom. The size of the total moment is 0.00 μB per cell. The value obtained for the formation enthalpy at 0 K is 0.033 eV per atom.